Computed, not measured: a relaxed Ba2ThZn2O6 crystal at the GGA-PBE level of DFT.

Output
Size of the total moment in μB per formula unit: 0.000
Formation energy from raw total energies in eV per atom: -2.4186

Cell lengths 6.2175, 6.2175, 6.9765 Å; angles 63.54, 63.54, 60.00 degrees
With the nearest neighbours (Å) after each atom.
Fractional positions:
O1 0.7548 0.2294 0.2610  1 Zn 1.89
O2 0.7706 0.2452 0.7390  1 Zn 1.89
O3 0.2452 0.7706 0.7390  1 Zn 1.89
O4 0.2452 0.2452 0.7390  1 Zn 1.89
O5 0.7548 0.7548 0.2610  1 Zn 1.89
O6 0.2294 0.7548 0.2610  1 Zn 1.89
Zn1 0.4232 0.4232 0.7304  3 O 1.89
Zn2 0.5768 0.5768 0.2696  3 O 1.89
Ba1 0.2082 0.2082 0.3754  3 O 2.76
Ba2 0.7918 0.7918 0.6246  3 O 2.76
Th1 0.0000 0.0000 0.0000  6 O 2.31

Computed, not measured: a relaxed Ba3ThZr2O9 crystal at the GGA-PBE level of DFT.

Output
Size of the total moment in μB per formula unit: 0.000
Formation energy from raw total energies in eV per atom: -3.2318

Cell lengths 6.1567, 6.1567, 7.6211 Å; angles 90.00, 90.00, 120.00 degrees
With the nearest neighbours (Å) after each atom.
Fractional positions:
O1 0.3443 0.1721 0.6801  1 Zr 2.10, 1 Th 2.29
O2 0.8279 0.6557 0.6801  1 Zr 2.10, 1 Th 2.29
O3 0.6557 0.8279 0.3199  1 Zr 2.10, 1 Th 2.29
O4 0.8279 0.1721 0.6801  1 Zr 2.10, 1 Th 2.29
O5 0.5000 0.5000 0.0000  2 Zr 2.16
O6 0.1721 0.8279 0.3199  1 Zr 2.10, 1 Th 2.29
O7 0.1721 0.3443 0.3199  1 Zr 2.10, 1 Th 2.29
O8 0.0000 0.5000 0.0000  2 Zr 2.16
O9 0.5000 0.0000 0.0000  2 Zr 2.16
Ba1 0.3333 0.6667 0.6850  12 O 2.99-3.27
Ba2 0.0000 0.0000 0.0000  12 O 3.05-3.08
Ba3 0.6667 0.3333 0.3150  12 O 2.99-3.27
Th1 0.0000 0.0000 0.5000  6 O 2.29
Zr1 0.6667 0.3333 0.8393  6 O 2.10-2.16
Zr2 0.3333 0.6667 0.1607  6 O 2.10-2.16

Number 1 is which compound? Ba2ThZn2O6

What did the first record say?
Computed, not measured: a relaxed Ba2ThZn2O6 crystal at the GGA-PBE level of DFT.

Output
Size of the total moment in μB per formula unit: 0.000
Formation energy from raw total energies in eV per atom: -2.4186

Cell lengths 6.2175, 6.2175, 6.9765 Å; angles 63.54, 63.54, 60.00 degrees
With the nearest neighbours (Å) after each atom.
Fractional positions:
O1 0.7548 0.2294 0.2610  1 Zn 1.89
O2 0.7706 0.2452 0.7390  1 Zn 1.89
O3 0.2452 0.7706 0.7390  1 Zn 1.89
O4 0.2452 0.2452 0.7390  1 Zn 1.89
O5 0.7548 0.7548 0.2610  1 Zn 1.89
O6 0.2294 0.7548 0.2610  1 Zn 1.89
Zn1 0.4232 0.4232 0.7304  3 O 1.89
Zn2 0.5768 0.5768 0.2696  3 O 1.89
Ba1 0.2082 0.2082 0.3754  3 O 2.76
Ba2 0.7918 0.7918 0.6246  3 O 2.76
Th1 0.0000 0.0000 0.0000  6 O 2.31

Repeat the second record exactly.
Computed, not measured: a relaxed Ba3ThZr2O9 crystal at the GGA-PBE level of DFT.

Output
Size of the total moment in μB per formula unit: 0.000
Formation energy from raw total energies in eV per atom: -3.2318

Cell lengths 6.1567, 6.1567, 7.6211 Å; angles 90.00, 90.00, 120.00 degrees
With the nearest neighbours (Å) after each atom.
Fractional positions:
O1 0.3443 0.1721 0.6801  1 Zr 2.10, 1 Th 2.29
O2 0.8279 0.6557 0.6801  1 Zr 2.10, 1 Th 2.29
O3 0.6557 0.8279 0.3199  1 Zr 2.10, 1 Th 2.29
O4 0.8279 0.1721 0.6801  1 Zr 2.10, 1 Th 2.29
O5 0.5000 0.5000 0.0000  2 Zr 2.16
O6 0.1721 0.8279 0.3199  1 Zr 2.10, 1 Th 2.29
O7 0.1721 0.3443 0.3199  1 Zr 2.10, 1 Th 2.29
O8 0.0000 0.5000 0.0000  2 Zr 2.16
O9 0.5000 0.0000 0.0000  2 Zr 2.16
Ba1 0.3333 0.6667 0.6850  12 O 2.99-3.27
Ba2 0.0000 0.0000 0.0000  12 O 3.05-3.08
Ba3 0.6667 0.3333 0.3150  12 O 2.99-3.27
Th1 0.0000 0.0000 0.5000  6 O 2.29
Zr1 0.6667 0.3333 0.8393  6 O 2.10-2.16
Zr2 0.3333 0.6667 0.1607  6 O 2.10-2.16